Entry 1:
First-principles (PBE) data for Sr3Tl2Hg9 after structural relaxation, as listed in Alexandria.

Lattice parameters (Å, degrees): 5.285 9.994 9.520 121.66 106.12 90.00
Element x y z (fractional)
Tl: 0.500 0.322 0.000
Tl: 0.500 0.678 0.000
Hg: 0.338 0.694 0.675
Hg: 0.143 0.856 0.285
Hg: 0.662 0.306 0.325
Hg: 0.000 0.500 0.000
Hg: 0.338 0.981 0.675
Hg: 0.857 0.144 0.715
Hg: 0.143 0.429 0.285
Hg: 0.662 0.019 0.325
Hg: 0.857 0.571 0.715
Sr: 0.288 0.288 0.576
Sr: 0.000 0.000 0.000
Sr: 0.712 0.712 0.424

## Properties
Fermi-level density of states = 0.53 states/eV per atom
space-group type = Immm (71)
total magnetic moment = 0.000 μB/cell
crystal system = orthorhombic

---

Entry 2:
First-principles (PBE) data for TbNdEr2Tm6 after structural relaxation, as listed in Alexandria.

Lattice parameters (Å, degrees): 9.384 8.705 8.705 117.49 93.27 93.27
Element x y z (fractional)
Tm: 0.884 0.291 0.512
Tm: 0.942 0.877 0.248
Tm: 0.442 0.248 0.877
Tm: 0.319 0.981 0.435
Tm: 0.384 0.512 0.291
Tm: 0.681 0.019 0.565
Tm: 0.558 0.752 0.123
Tm: 0.616 0.488 0.709
Tm: 0.116 0.709 0.488
Tm: 0.181 0.565 0.019
Tm: 0.819 0.435 0.981
Tm: 0.058 0.123 0.752
Er: 0.952 0.696 0.802
Er: 0.548 0.198 0.304
Er: 0.048 0.304 0.198
Er: 0.452 0.802 0.696
Tb: 0.250 0.410 0.590
Tb: 0.750 0.590 0.410
Nd: 0.250 0.972 0.028
Nd: 0.750 0.028 0.972

## Properties
Fermi-level density of states = 1.47 states/eV per atom
space-group type = C2/c (15)
total magnetic moment = 0.083 μB/cell
crystal system = monoclinic

---

| no. | ΔH_f (0 K) (eV/atom) |
| --- | --- |
| 1 | -0.31 |
| 2 | 0.12 |